1.
# CdNiMo2 (PBE, optimized geometry)
# **DOS(E_F)**: 2.8 states/eV/f.u.
# **SG**: P4mm (99)
# **Calculated volume**: 64 Å³/cell
# **Spin magnetization**: 0.0 μB per formula unit
# **Formation enthalpy at 0 K**: 0.253 eV/atom
data_CdNiMo2
_chemical_formula_sum 'Cd1 Ni1 Mo2'
_space_group_name_H-M_alt 'P 1'
_space_group_IT_number 1
_cell_length_a 3.204
_cell_length_b 3.204
_cell_length_c 6.210
_cell_angle_alpha 90.00
_cell_angle_beta 90.00
_cell_angle_gamma 90.00
loop_
_space_group_symop_operation_xyz
'x,y,z'
loop_
_atom_site_label
_atom_site_type_symbol
_atom_site_fract_x
_atom_site_fract_y
_atom_site_fract_z
_atom_site_occupancy
Cd1 Cd 0.000 0.000 0.000 1
Ni1 Ni 0.500 0.500 0.754 1
Mo1 Mo 0.000 0.000 0.521 1
Mo2 Mo 0.500 0.500 0.306 1

=====

2.
# LiGaNiPd2 (PBE, optimized geometry)
# **DOS(E_F)**: 0.4 states/eV/f.u.
# **SG**: P4/mmm (123)
# **Calculated volume**: 71 Å³/cell
# **Spin magnetization**: 0.0 μB per formula unit
# **Formation enthalpy at 0 K**: 0.214 eV/atom
data_LiGaNiPd2
_chemical_formula_sum 'Li1 Ga1 Ni1 Pd2'
_space_group_name_H-M_alt 'P 1'
_space_group_IT_number 1
_cell_length_a 4.212
_cell_length_b 4.212
_cell_length_c 4.029
_cell_angle_alpha 90.00
_cell_angle_beta 90.00
_cell_angle_gamma 90.00
loop_
_space_group_symop_operation_xyz
'x,y,z'
loop_
_atom_site_label
_atom_site_type_symbol
_atom_site_fract_x
_atom_site_fract_y
_atom_site_fract_z
_atom_site_occupancy
Li1 Li 0.000 0.000 0.000 1
Ga1 Ga 0.500 0.500 0.500 1
Ni1 Ni 0.000 0.000 0.500 1
Pd1 Pd 0.000 0.500 0.000 1
Pd2 Pd 0.500 0.000 0.000 1

=====

3.
# Pm3NdSe4 (PBE, optimized geometry)
# **DOS(E_F)**: 5.0 states/eV/f.u.
# **SG**: P6_3/mmc (194)
# **Calculated volume**: 422 Å³/cell
# **Spin magnetization**: 0.0 μB per formula unit
# **Energy relative to the elements, uncorrected**: -1.825 eV/atom
data_Pm3NdSe4
_chemical_formula_sum 'Pm6 Nd2 Se8'
_space_group_name_H-M_alt 'P 1'
_space_group_IT_number 1
_cell_length_a 4.159
_cell_length_b 4.159
_cell_length_c 28.141
_cell_angle_alpha 90.00
_cell_angle_beta 90.00
_cell_angle_gamma 120.00
loop_
_space_group_symop_operation_xyz
'x,y,z'
loop_
_atom_site_label
_atom_site_type_symbol
_atom_site_fract_x
_atom_site_fract_y
_atom_site_fract_z
_atom_site_occupancy
Pm1 Pm 0.000 0.000 0.000 1
Pm2 Pm 0.000 0.000 0.500 1
Pm3 Pm 0.333 0.667 0.123 1
Pm4 Pm 0.333 0.667 0.377 1
Pm5 Pm 0.667 0.333 0.623 1
Pm6 Pm 0.667 0.333 0.877 1
Nd1 Nd 0.333 0.667 0.750 1
Nd2 Nd 0.667 0.333 0.250 1
Se1 Se 0.000 0.000 0.185 1
Se2 Se 0.000 0.000 0.315 1
Se3 Se 0.000 0.000 0.685 1
Se4 Se 0.000 0.000 0.815 1
Se5 Se 0.333 0.667 0.562 1
Se6 Se 0.333 0.667 0.938 1
Se7 Se 0.667 0.333 0.062 1
Se8 Se 0.667 0.333 0.438 1

=====

4.
# YSc2Au (PBE, optimized geometry)
# **DOS(E_F)**: 5.6 states/eV/f.u.
# **SG**: R-3m (166)
# **Calculated volume**: 305 Å³/cell
# **Spin magnetization**: 0.0 μB per formula unit
# **Formation enthalpy at 0 K**: -0.217 eV/atom
# **Energy above the lowest structure with this stoichiometry**: 0.204 eV/atom
data_YSc2Au
_chemical_formula_sum 'Y3 Sc6 Au3'
_space_group_name_H-M_alt 'P 1'
_space_group_IT_number 1
_cell_length_a 3.503
_cell_length_b 3.503
_cell_length_c 28.721
_cell_angle_alpha 90.00
_cell_angle_beta 90.00
_cell_angle_gamma 120.00
loop_
_space_group_symop_operation_xyz
'x,y,z'
loop_
_atom_site_label
_atom_site_type_symbol
_atom_site_fract_x
_atom_site_fract_y
_atom_site_fract_z
_atom_site_occupancy
Y1 Y 0.000 0.000 0.000 1
Y2 Y 0.333 0.667 0.667 1
Y3 Y 0.667 0.333 0.333 1
Sc1 Sc 0.000 0.000 0.236 1
Sc2 Sc 0.000 0.000 0.764 1
Sc3 Sc 0.333 0.667 0.431 1
Sc4 Sc 0.333 0.667 0.902 1
Sc5 Sc 0.667 0.333 0.098 1
Sc6 Sc 0.667 0.333 0.569 1
Au1 Au 0.000 0.000 0.500 1
Au2 Au 0.333 0.667 0.167 1
Au3 Au 0.667 0.333 0.833 1

=====

5.
# RbMg6TiO8 (PBE, optimized geometry)
# **DOS(E_F)**: 0.6 states/eV/f.u.
# **SG**: P4/mmm (123)
# **Calculated volume**: 185 Å³/cell
# **Spin magnetization**: 1.0 μB per formula unit
# **Energy relative to the elements, uncorrected**: -2.172 eV/atom
# **Energy above the lowest structure with this stoichiometry**: 0.000 eV/atom
data_RbMg6TiO8
_chemical_formula_sum 'Rb1 Mg6 Ti1 O8'
_space_group_name_H-M_alt 'P 1'
_space_group_IT_number 1
_cell_length_a 4.615
_cell_length_b 4.615
_cell_length_c 8.663
_cell_angle_alpha 90.00
_cell_angle_beta 90.00
_cell_angle_gamma 90.00
loop_
_space_group_symop_operation_xyz
'x,y,z'
loop_
_atom_site_label
_atom_site_type_symbol
_atom_site_fract_x
_atom_site_fract_y
_atom_site_fract_z
_atom_site_occupancy
Rb1 Rb 0.000 0.000 0.000 1
Mg1 Mg 0.000 0.500 0.245 1
Mg2 Mg 0.000 0.500 0.755 1
Mg3 Mg 0.500 0.000 0.245 1
Mg4 Mg 0.500 0.000 0.755 1
Mg5 Mg 0.500 0.500 0.000 1
Mg6 Mg 0.500 0.500 0.500 1
Ti1 Ti 0.000 0.000 0.500 1
O1 O 0.000 0.000 0.284 1
O2 O 0.000 0.000 0.716 1
O3 O 0.000 0.500 0.000 1
O4 O 0.000 0.500 0.500 1
O5 O 0.500 0.000 0.000 1
O6 O 0.500 0.000 0.500 1
O7 O 0.500 0.500 0.253 1
O8 O 0.500 0.500 0.747 1

=====

6.
# AlGeTeN2 (PBE, optimized geometry)
# **DOS(E_F)**: 2.1 states/eV/f.u.
# **SG**: P4/mmm (123)
# **Calculated volume**: 95 Å³/cell
# **Spin magnetization**: 0.0 μB per formula unit
# **Energy relative to the elements, uncorrected**: 1.090 eV/atom
# **Energy above the lowest structure with this stoichiometry**: 0.249 eV/atom
data_AlGeTeN2
_chemical_formula_sum 'Al1 Ge1 Te1 N2'
_space_group_name_H-M_alt 'P 1'
_space_group_IT_number 1
_cell_length_a 3.773
_cell_length_b 3.773
_cell_length_c 6.703
_cell_angle_alpha 90.00
_cell_angle_beta 90.00
_cell_angle_gamma 90.00
loop_
_space_group_symop_operation_xyz
'x,y,z'
loop_
_atom_site_label
_atom_site_type_symbol
_atom_site_fract_x
_atom_site_fract_y
_atom_site_fract_z
_atom_site_occupancy
Al1 Al 0.000 0.000 0.000 1
Ge1 Ge 0.500 0.500 0.500 1
Te1 Te 0.500 0.500 0.000 1
N1 N 0.000 0.500 0.500 1
N2 N 0.500 0.000 0.500 1

=====

7.
# LiAlPb2O6 (PBE, optimized geometry)
# **SG**: R3 (146)
# **Calculated volume**: 120 Å³/cell
# **Spin magnetization**: 0.0 μB per formula unit
# **Energy relative to the elements, uncorrected**: -1.562 eV/atom
data_LiAlPb2O6
_chemical_formula_sum 'Li1 Al1 Pb2 O6'
_space_group_name_H-M_alt 'P 1'
_space_group_IT_number 1
_cell_length_a 5.718
_cell_length_b 5.718
_cell_length_c 5.718
_cell_angle_alpha 55.93
_cell_angle_beta 55.93
_cell_angle_gamma 55.93
loop_
_space_group_symop_operation_xyz
'x,y,z'
loop_
_atom_site_label
_atom_site_type_symbol
_atom_site_fract_x
_atom_site_fract_y
_atom_site_fract_z
_atom_site_occupancy
Li1 Li 0.000 0.000 0.000 1
Al1 Al 0.478 0.478 0.478 1
Pb1 Pb 0.270 0.270 0.270 1
Pb2 Pb 0.776 0.776 0.776 1
O1 O 0.117 0.681 0.369 1
O2 O 0.222 0.583 0.832 1
O3 O 0.369 0.117 0.681 1
O4 O 0.583 0.832 0.222 1
O5 O 0.681 0.369 0.117 1
O6 O 0.832 0.222 0.583 1

=====

8.
# CaHSN2 (PBE, optimized geometry)
# **DOS(E_F)**: 4.8 states/eV/f.u.
# **SG**: P4/mmm (123)
# **Calculated volume**: 137 Å³/cell
# **Spin magnetization**: 7.0 μB per formula unit
# **Energy above the lowest structure with this stoichiometry**: 0.841 eV/atom
data_CaHSN2
_chemical_formula_sum 'Ca1 H1 S1 N2'
_space_group_name_H-M_alt 'P 1'
_space_group_IT_number 1
_cell_length_a 4.946
_cell_length_b 4.946
_cell_length_c 5.605
_cell_angle_alpha 90.00
_cell_angle_beta 90.00
_cell_angle_gamma 90.00
loop_
_space_group_symop_operation_xyz
'x,y,z'
loop_
_atom_site_label
_atom_site_type_symbol
_atom_site_fract_x
_atom_site_fract_y
_atom_site_fract_z
_atom_site_occupancy
Ca1 Ca 0.000 0.000 0.000 1
H1 H 0.500 0.500 0.500 1
S1 S 0.000 0.000 0.500 1
N1 N 0.000 0.500 0.000 1
N2 N 0.500 0.000 0.000 1

=====

9.
# Ca2TaTc (PBE, optimized geometry)
# **DOS(E_F)**: 5.3 states/eV/f.u.
# **SG**: I-42d (122)
# **Calculated volume**: 559 Å³/cell
# **Spin magnetization**: 0.2 μB per formula unit
# **Formation enthalpy at 0 K**: 0.993 eV/atom
# **Energy above the lowest structure with this stoichiometry**: 0.834 eV/atom
data_Ca2TaTc
_chemical_formula_sum 'Ca8 Ta4 Tc4'
_space_group_name_H-M_alt 'P 1'
_space_group_IT_number 1
_cell_length_a 10.937
_cell_length_b 10.937
_cell_length_c 4.670
_cell_angle_alpha 90.00
_cell_angle_beta 90.00
_cell_angle_gamma 90.00
loop_
_space_group_symop_operation_xyz
'x,y,z'
loop_
_atom_site_label
_atom_site_type_symbol
_atom_site_fract_x
_atom_site_fract_y
_atom_site_fract_z
_atom_site_occupancy
Ca1 Ca 0.092 0.250 0.125 1
Ca2 Ca 0.250 0.592 0.375 1
Ca3 Ca 0.250 0.908 0.875 1
Ca4 Ca 0.408 0.250 0.625 1
Ca5 Ca 0.592 0.750 0.625 1
Ca6 Ca 0.750 0.092 0.875 1
Ca7 Ca 0.750 0.408 0.375 1
Ca8 Ca 0.908 0.750 0.125 1
Ta1 Ta 0.000 0.000 0.500 1
Ta2 Ta 0.000 0.500 0.750 1
Ta3 Ta 0.500 0.000 0.250 1
Ta4 Ta 0.500 0.500 0.000 1
Tc1 Tc 0.000 0.000 0.000 1
Tc2 Tc 0.000 0.500 0.250 1
Tc3 Tc 0.500 0.000 0.750 1
Tc4 Tc 0.500 0.500 0.500 1

=====

10.
# InNiRu2C (PBE, optimized geometry)
# **DOS(E_F)**: 5.0 states/eV/f.u.
# **SG**: P4/mmm (123)
# **Calculated volume**: 66 Å³/cell
# **Spin magnetization**: 0.0 μB per formula unit
# **Formation enthalpy at 0 K**: 0.062 eV/atom
data_InNiRu2C
_chemical_formula_sum 'In1 Ni1 Ru2 C1'
_space_group_name_H-M_alt 'P 1'
_space_group_IT_number 1
_cell_length_a 4.118
_cell_length_b 4.118
_cell_length_c 3.872
_cell_angle_alpha 90.00
_cell_angle_beta 90.00
_cell_angle_gamma 90.00
loop_
_space_group_symop_operation_xyz
'x,y,z'
loop_
_atom_site_label
_atom_site_type_symbol
_atom_site_fract_x
_atom_site_fract_y
_atom_site_fract_z
_atom_site_occupancy
In1 In 0.000 0.000 0.000 1
Ni1 Ni 0.500 0.500 0.000 1
Ru1 Ru 0.000 0.500 0.500 1
Ru2 Ru 0.500 0.000 0.500 1
C1 C 0.500 0.500 0.500 1

=====

11.
# Cd2Hg3Pb (PBE, optimized geometry)
# **DOS(E_F)**: 2.2 states/eV/f.u.
# **SG**: C2/m (12)
# **Calculated volume**: 317 Å³/cell
# **Spin magnetization**: 0.0 μB per formula unit
# **Formation enthalpy at 0 K**: 0.037 eV/atom
data_Cd2Hg3Pb
_chemical_formula_sum 'Cd4 Hg6 Pb2'
_space_group_name_H-M_alt 'P 1'
_space_group_IT_number 1
_cell_length_a 7.389
_cell_length_b 7.389
_cell_length_c 5.877
_cell_angle_alpha 94.81
_cell_angle_beta 94.81
_cell_angle_gamma 94.86
loop_
_space_group_symop_operation_xyz
'x,y,z'
loop_
_atom_site_label
_atom_site_type_symbol
_atom_site_fract_x
_atom_site_fract_y
_atom_site_fract_z
_atom_site_occupancy
Cd1 Cd 0.199 0.801 0.000 1
Cd2 Cd 0.247 0.753 0.500 1
Cd3 Cd 0.753 0.247 0.500 1
Cd4 Cd 0.801 0.199 0.000 1
Hg1 Hg 0.114 0.411 0.764 1
Hg2 Hg 0.118 0.118 0.324 1
Hg3 Hg 0.411 0.114 0.764 1
Hg4 Hg 0.589 0.886 0.236 1
Hg5 Hg 0.882 0.882 0.676 1
Hg6 Hg 0.886 0.589 0.236 1
Pb1 Pb 0.415 0.415 0.227 1
Pb2 Pb 0.585 0.585 0.773 1

=====

12.
# RbMgAsBr2 (PBE, optimized geometry)
# **SG**: P4/mmm (123)
# **Calculated volume**: 166 Å³/cell
# **Spin magnetization**: 2.0 μB per formula unit
# **Energy relative to the elements, uncorrected**: -0.822 eV/atom
# **Energy above the lowest structure with this stoichiometry**: 0.000 eV/atom
data_RbMgAsBr2
_chemical_formula_sum 'Rb1 Mg1 As1 Br2'
_space_group_name_H-M_alt 'P 1'
_space_group_IT_number 1
_cell_length_a 5.589
_cell_length_b 5.589
_cell_length_c 5.304
_cell_angle_alpha 90.00
_cell_angle_beta 90.00
_cell_angle_gamma 90.00
loop_
_space_group_symop_operation_xyz
'x,y,z'
loop_
_atom_site_label
_atom_site_type_symbol
_atom_site_fract_x
_atom_site_fract_y
_atom_site_fract_z
_atom_site_occupancy
Rb1 Rb 0.000 0.000 0.000 1
Mg1 Mg 0.500 0.500 0.500 1
As1 As 0.500 0.500 0.000 1
Br1 Br 0.000 0.500 0.500 1
Br2 Br 0.500 0.000 0.500 1